GaMoBrCl2: optimized geometry, PBE.

Unit cell a=6.282 b=6.282 c=4.772 alpha=90.00 beta=90.00 gamma=90.00
Positions (direct):
Ga1 0.000 0.000 0.000
Mo1 0.500 0.500 0.000
Br1 0.500 0.500 0.500
Cl1 0.000 0.500 0.500
Cl2 0.500 0.000 0.500

Output
- symmetry = No. 123
- crystal system = tetragonal
- M_tot (μB/f.u.) = 4.000
- formation energy without anion corrections (eV/atom) = 0.60